{"formula": "TlCdAgSe2", "functional": "PBE-GGA", "state": "relaxed", "e_form_raw_mev_per_atom": -336, "space_group": "No. 67", "dft_energy_ev_per_atom": -2.956, "crystal_system": "orthorhombic", "cell": [[6.267, 0.000, 0.000], [0.000, 6.370, 0.000], [0.000, -3.185, 7.103]], "species": ["Tl", "Tl", "Ag", "Ag", "Cd", "Cd", "Se", "Se", "Se", "Se"], "fractional_positions": [[0.243, 0.750, 0.500], [0.757, 0.250, 0.500], [0.000, 0.500, 0.000], [0.000, 0.000, 0.000], [0.500, 0.750, 0.000], [0.500, 0.250, 0.000], [0.717, 0.624, 0.249], [0.283, 0.376, 0.751], [0.717, 0.876, 0.751], [0.283, 0.124, 0.249]]}